A crystal of Ti3FeSn2P6O24 relaxed with PBEsol. Source: Alexandria, functional SCAN.

a = 8.461 Å, b = 8.461 Å, c = 9.084 Å
α = 62.24°, β = 62.24°, γ = 60.00°
Each line ends with the local moment (μB).
Sites, in units of the cell vectors:
O 0.269 0.967 0.409  0.07
O 0.609 0.407 0.212  0.01
O 0.883 0.508 0.918  0.00
O 0.013 0.641 0.587  0.00
O 0.759 0.013 0.587  0.00
O 0.416 0.584 0.767  0.00
O 0.294 0.937 0.733  0.03
O 0.937 0.036 0.733  0.03
O 0.691 0.883 0.918  0.00
O 0.276 0.130 0.087  0.01
O 0.641 0.759 0.587  0.00
O 0.355 0.269 0.409  0.07
O 0.955 0.698 0.293  0.00
O 0.508 0.276 0.087  0.01
O 0.055 0.955 0.293  0.00
O 0.508 0.691 0.918  0.00
O 0.234 0.416 0.767  0.00
O 0.407 0.772 0.212  0.01
O 0.967 0.355 0.409  0.07
O 0.772 0.609 0.212  0.01
O 0.698 0.055 0.293  0.00
O 0.584 0.234 0.767  0.00
O 0.130 0.508 0.087  0.01
O 0.036 0.294 0.733  0.03
P 0.745 0.036 0.750  0.00
P 0.957 0.537 0.255  0.00
P 0.469 0.745 0.750  0.00
P 0.036 0.469 0.750  0.00
P 0.537 0.251 0.255  0.00
P 0.251 0.957 0.255  0.00
Sn 0.021 0.021 0.936  0.00
Sn 0.486 0.486 0.541  0.00
Ti 0.854 0.854 0.438  -0.11
Ti 0.646 0.646 0.062  -0.04
Ti 0.346 0.346 0.962  -0.32
Fe 0.157 0.157 0.530  3.87

The calculation puts the total energy at -12.27 eV per atom.

***

A crystal of ZnCu2PH7O9 relaxed with PBEsol. Source: Alexandria, functional SCAN.

a = 7.410 Å, b = 9.637 Å, c = 10.114 Å
α = 90.00°, β = 90.00°, γ = 101.45°
Each line ends with the local moment (μB).
Sites, in units of the cell vectors:
O 0.966 0.365 0.840  0.00
O 0.022 0.794 0.894  0.00
O 0.666 0.722 0.082  0.12
O 0.623 0.238 0.788  0.15
O 0.034 0.135 0.340  0.00
O 0.623 0.738 0.712  0.15
O 0.322 0.195 0.595  0.00
O 0.322 0.695 0.905  0.00
O 0.044 0.963 0.156  0.01
O 0.736 0.021 0.223  0.04
O 0.044 0.463 0.344  0.01
O 0.334 0.278 0.918  0.12
O 0.595 0.964 0.903  0.18
O 0.736 0.521 0.277  0.04
O 0.678 0.305 0.095  0.00
O 0.956 0.537 0.656  0.01
O 0.348 0.448 0.115  0.01
O 0.666 0.222 0.418  0.12
O 0.595 0.464 0.597  0.18
O 0.978 0.206 0.106  0.00
O 0.377 0.762 0.212  0.15
O 0.034 0.635 0.160  0.00
O 0.405 0.036 0.097  0.18
O 0.022 0.294 0.606  0.00
O 0.348 0.948 0.385  0.01
O 0.264 0.479 0.723  0.04
O 0.652 0.552 0.885  0.01
O 0.678 0.805 0.405  0.00
O 0.405 0.536 0.403  0.18
O 0.978 0.706 0.394  0.00
O 0.652 0.052 0.615  0.01
O 0.956 0.037 0.844  0.01
O 0.334 0.778 0.582  0.12
O 0.966 0.865 0.660  0.00
O 0.377 0.262 0.288  0.15
O 0.264 0.979 0.777  0.04
H 0.252 0.709 0.183  0.00
H 0.732 0.985 0.884  0.00
H 0.358 0.354 0.991  0.00
H 0.311 0.606 0.853  0.00
H 0.653 0.630 0.814  0.00
H 0.732 0.485 0.616  0.00
H 0.252 0.209 0.317  0.00
H 0.689 0.394 0.147  0.00
H 0.229 0.978 0.381  0.00
H 0.197 0.219 0.596  0.00
H 0.803 0.781 0.404  0.00
H 0.642 0.146 0.491  0.00
H 0.347 0.370 0.186  0.00
H 0.748 0.291 0.817  0.00
H 0.268 0.515 0.384  0.00
H 0.689 0.894 0.353  0.00
H 0.653 0.130 0.686  0.00
H 0.197 0.719 0.904  0.00
H 0.311 0.106 0.647  0.00
H 0.358 0.854 0.509  0.00
H 0.748 0.791 0.683  0.00
H 0.803 0.281 0.096  0.00
H 0.229 0.478 0.119  0.00
H 0.771 0.522 0.881  0.00
H 0.268 0.015 0.116  0.00
H 0.642 0.646 0.009  0.00
H 0.771 0.022 0.619  0.00
H 0.347 0.870 0.314  0.00
Zn 0.931 0.286 0.425  0.00
Zn 0.931 0.786 0.075  0.00
Zn 0.069 0.714 0.575  0.00
Zn 0.069 0.214 0.925  0.00
Cu 0.454 0.364 0.752  0.75
Cu 0.505 0.362 0.436  0.73
Cu 0.546 0.636 0.248  0.75
Cu 0.546 0.136 0.252  0.75
Cu 0.454 0.864 0.748  0.75
Cu 0.505 0.862 0.064  0.73
Cu 0.495 0.138 0.936  0.73
Cu 0.495 0.638 0.564  0.73
P 0.945 0.581 0.295  0.00
P 0.055 0.419 0.705  0.00
P 0.055 0.919 0.795  0.00
P 0.945 0.081 0.205  0.00

The calculation puts the total energy at -8.06 eV per atom.

***

no.,total magnetization (μB/f.u.)
1,3.8
2,2.0